Entry 1:
A geometry-optimized Ac4PmDy structure. Source: Alexandria, functional GGA-PBE.

offset from the most stable computed form = 1.27 eV per formula unit

Unit cell a=10.112 b=10.112 c=10.112 alpha=90.00 beta=90.00 gamma=90.00
Space group F-43m (No. 216)
One atom of each set of equivalent atoms:
1 Ac 0.125 0.125 0.125 [16 per cell]
2 Pm 0.000 0.000 0.500 [4 per cell]
3 Dy 0.250 0.250 0.750 [4 per cell]



Entry 2:
A geometry-optimized MgTa2F structure. Source: Alexandria, functional GGA-PBE.

offset from the most stable computed form = 0.10 eV per formula unit
energy relative to the elements, uncorrected = 62.6 kJ/mol of atoms

Unit cell a=5.033 b=5.033 c=14.065 alpha=90.00 beta=90.00 gamma=90.00
Space group I4_1/amd (No. 141, origin choice 2)
One atom of each set of equivalent atoms:
1 Mg 0.000 0.250 0.375 [4 per cell]
2 Ta 0.000 0.000 0.000 [8 per cell]
3 F 0.000 0.250 0.875 [4 per cell]



Entry 3:
A geometry-optimized PaSnGe2O8 structure. Source: Alexandria, functional GGA-PBE.

energy relative to the elements, uncorrected = -195.8 kJ/mol of atoms

Unit cell a=8.567 b=5.841 c=7.283 alpha=90.00 beta=91.24 gamma=90.00
Space group C2/m (No. 12)
One atom of each set of equivalent atoms:
1 Pa 0.000 0.000 0.000 [2 per cell]
2 Sn 0.000 0.000 0.500 [2 per cell]
3 Ge 0.148 0.500 0.264 [4 per cell]
4 O 0.031 0.245 0.241 [8 per cell]
5 O 0.237 0.000 0.937 [4 per cell]
6 O 0.245 0.000 0.530 [4 per cell]



no.,uncorrected energy (eV for the cell shown)
1,-94.4
2,-98.3
3,-173.5